The following is a DFT calculation (GGA+U) of crystalline KWO3F at its relaxed geometry.

a = 5.1637 Å, b = 18.4562 Å, c = 5.4719 Å
α = 90.00°, β = 90.53°, γ = 90.00°
Space group C2/c (No. 15)
One atom of each set of equivalent atoms:
K 0.0000 0.2438 0.2500 x4
W 0.0000 0.4673 0.7500 x4
O 0.0000 0.3734 0.7500 x4
O 0.2409 0.4998 0.0027 x8
F 0.0000 0.2141 0.7500 x4

Computed properties:
As for the crystal system: monoclinic. The calculated total energy is -6.165 eV/atom. The calculation puts the total magnetization at 0.09 μB/f.u.